# GGA-PBE NdIn2Hg, relaxed
data_NdIn2Hg
_space_group_name_H-M_alt 'P 4/m m m'
_space_group_IT_number 123
_space_group_name_Hall '-P 4 2'
_cell_length_a 4.702
_cell_length_b 4.702
_cell_length_c 4.672
_cell_angle_alpha 90.00
_cell_angle_beta 90.00
_cell_angle_gamma 90.00
loop_
_atom_site_label
_atom_site_type_symbol
_atom_site_fract_x
_atom_site_fract_y
_atom_site_fract_z
Nd1 Nd 0.000 0.000 0.000
In1 In 0.000 0.500 0.500
Hg1 Hg 0.500 0.500 0.000
# Final energy = -3.07 eV per atom
# Crystal system = tetragonal
# Calculated formation energy = -0.433 eV per atom